NaSmO2 | PBE | relaxed

The structure in CIF format:
```
data_NaSmO2
_cell_length_a 6.951
_cell_length_b 6.951
_cell_length_c 9.748
_cell_angle_alpha 90.00
_cell_angle_beta 90.00
_cell_angle_gamma 90.00
_space_group_name_H-M_alt 'I 41/a m d'
_space_group_IT_number 141
loop_
_space_group_symop_operation_xyz
'x,y,z'
'-x,-y,-z'
'-y+1/4,x+3/4,z+1/4'
'y+1/4,-x+3/4,-z+1/4'
'-x+1/2,-y,z+1/2'
'x+1/2,y,-z+1/2'
'y+1/4,-x+1/4,z+3/4'
'-y+1/4,x+1/4,-z+3/4'
'x,-y,-z'
'-x,y,z'
'-y+1/4,-x+1/4,-z+3/4'
'y+1/4,x+1/4,z+3/4'
'-x+1/2,y,-z+1/2'
'x+1/2,-y,z+1/2'
'y+1/4,x+3/4,-z+1/4'
'-y+1/4,-x+3/4,z+1/4'
'x+1/2,y+1/2,z+1/2'
'-x+1/2,-y+1/2,-z+1/2'
'-y+3/4,x+1/4,z+3/4'
'y+3/4,-x+1/4,-z+3/4'
'-x,-y+1/2,z'
'x,y+1/2,-z'
'y+3/4,-x+3/4,z+1/4'
'-y+3/4,x+3/4,-z+1/4'
'x+1/2,-y+1/2,-z+1/2'
'-x+1/2,y+1/2,z+1/2'
'-y+3/4,-x+3/4,-z+1/4'
'y+3/4,x+3/4,z+1/4'
'-x,y+1/2,-z'
'x,-y+1/2,z'
'y+3/4,x+1/4,-z+3/4'
'-y+3/4,-x+1/4,z+3/4'
loop_
_atom_site_label
_atom_site_type_symbol
_atom_site_fract_x
_atom_site_fract_y
_atom_site_fract_z
Na1 Na 0.000 0.000 0.000
Sm1 Sm 0.000 0.000 0.500
O1 O 0.000 0.022 0.259
```

Calculated values
Size of the total moment: 0.00 Bohr magnetons per cell
Electronic total energy: -212.9 eV per cell